# Ti4GaPd3 GGA-PBE relaxed
# - final energy (eV/atom) = -6.498
# - distance to the lowest polymorph of the same formula (eV/atom) = 0.297
# - calculated density (g/cm³) = 7.2
# - formation energy from the elements (meV/atom) = -225
data_Ti4GaPd3
_space_group_name_H-M_alt 'C 1 2/m 1'
_space_group_IT_number 12
_space_group_name_Hall '-C 2y'
_cell_length_a 22.717
_cell_length_b 2.771
_cell_length_c 4.325
_cell_angle_alpha 90.00
_cell_angle_beta 100.39
_cell_angle_gamma 90.00
loop_
_atom_site_label
_atom_site_fract_x
_atom_site_fract_y
_atom_site_fract_z
Ti1 0.107 0.000 0.115
Ti2 0.232 0.000 0.233
Ga1 0.000 0.000 0.500
Pd1 0.000 0.500 0.000
Pd2 0.155 0.500 0.660